PBE-GGA BaPrTe2F, optimized geometry; N(E_F) = 3.33 states/eV/cell; uncorrected energy = -51.68 eV/cell; SG = No. 129; ΔE_f (raw) = -2.20 eV per atom
1.0
4.553 0.000 0.000
0.000 4.553 0.000
0.000 0.000 16.123
Ba Pr Te F
2 2 4 2
direct
0.250 0.250 0.091
0.750 0.750 0.909
0.250 0.250 0.621
0.750 0.750 0.379
0.250 0.250 0.409
0.250 0.250 0.804
0.750 0.750 0.196
0.750 0.750 0.591
0.250 0.750 0.000
0.750 0.250 0.000